Computed, not measured: an optimized crystal structure of AgBi2S2 at the PBEsol level of DFT.

Theoretical density = 8.704 g/cm³
Total moment = 0.00 μB per cell
Energy relative to the elements, uncorrected = 0.089 eV per atom

abc: 7.8150 7.8150 3.6857
angles: 90.00 90.00 90.00
Last column: nearest neighbours and their distance in Å.
Space group P4/mbm (No. 127)
Inequivalent atoms, fractional coordinates:
Ag 0.0000 0.0000 0.0000  4 S 3.00
Bi 0.1698 0.3302 0.5000  6 S 2.76-3.08
S 0.1447 0.6447 0.0000  6 Bi 2.76-3.08, 2 Ag 3.00